## MgTa2Pt (GGA-PBE)

Data for crystalline MgTa2Pt at its relaxed geometry.

Computed properties:
The calculation puts the formation energy at -0.784 eV per formula unit. As for the symmetry: No. 47. The density of states at the Fermi level is 0.76 states/eV per atom.

a b c (Å): 3.326 4.378 4.729
angles (deg): 90.00 90.00 90.00
Atoms (fractional coordinates):
Mg 0.500 0.000 0.500
Pt 0.000 0.500 0.500
Ta 0.000 0.000 0.000
Ta 0.500 0.500 0.000